No. 1
VASP calculation (GGA-PBE) on crystalline Hf2AlW at its relaxed geometry.

Unit cell a=3.425 b=3.425 c=6.412 alpha=90.00 beta=90.00 gamma=90.00
Space group P4/mmm (No. 123)
Symmetry-distinct sites (fractional):
Hf  0.000  0.000  0.240 (multiplicity 2)
Al  0.500  0.500  0.500 (multiplicity 1)
W  0.500  0.500  0.000 (multiplicity 1)

## Properties
VASP energy = -9.372 eV per atom
formation energy = -0.222 eV/atom
crystal system = tetragonal

No. 2
VASP calculation (GGA-PBE) on crystalline HfAl4W at its relaxed geometry.

Unit cell a=7.266 b=7.266 c=7.266 alpha=90.00 beta=90.00 gamma=90.00
Space group F-43m (No. 216)
Symmetry-distinct sites (fractional):
Hf  0.000  0.000  0.000 (multiplicity 4)
Al  0.125  0.125  0.375 (multiplicity 16)
W  0.250  0.250  0.750 (multiplicity 4)

## Properties
VASP energy = -6.450 eV per atom
formation energy = -0.137 eV/atom
crystal system = cubic

No. 3
VASP calculation (GGA-PBE) on crystalline HfAlW3 at its relaxed geometry.

Unit cell a=4.576 b=4.576 c=4.576 alpha=90.00 beta=90.00 gamma=90.00
Space group Pm-3m (No. 221)
Symmetry-distinct sites (fractional):
Hf  0.000  0.000  0.000 (multiplicity 1)
Al  0.500  0.500  0.500 (multiplicity 1)
W  0.000  0.500  0.500 (multiplicity 3)

## Properties
VASP energy = -9.104 eV per atom
formation energy = 1.407 eV/atom
crystal system = cubic

No. 4
VASP calculation (GGA-PBE) on crystalline HfAl2W at its relaxed geometry.

Unit cell a=7.252 b=7.252 c=5.601 alpha=90.00 beta=90.00 gamma=90.00
Space group I-42d (No. 122)
Symmetry-distinct sites (fractional):
Hf  0.000  0.000  0.000 (multiplicity 4)
Al  0.231  0.250  0.625 (multiplicity 8)
W  0.000  0.000  0.500 (multiplicity 4)

## Properties
VASP energy = -7.266 eV per atom
formation energy = 0.332 eV/atom
crystal system = tetragonal

No. 5
VASP calculation (GGA-PBE) on crystalline HfAlW4 at its relaxed geometry.

Unit cell a=7.528 b=7.528 c=7.528 alpha=90.00 beta=90.00 gamma=90.00
Space group F-43m (No. 216)
Symmetry-distinct sites (fractional):
Hf  0.000  0.000  0.000 (multiplicity 4)
Al  0.250  0.250  0.250 (multiplicity 4)
W  0.124  0.124  0.624 (multiplicity 16)

## Properties
VASP energy = -10.804 eV per atom
formation energy = 0.114 eV/atom
crystal system = cubic

No. 6
VASP calculation (GGA-PBE) on crystalline Hf3AlW at its relaxed geometry.

Unit cell a=4.842 b=4.842 c=4.842 alpha=90.00 beta=90.00 gamma=90.00
Space group Pm-3m (No. 221)
Symmetry-distinct sites (fractional):
Hf  0.000  0.000  0.500 (multiplicity 3)
Al  0.000  0.000  0.000 (multiplicity 1)
W  0.500  0.500  0.500 (multiplicity 1)

## Properties
VASP energy = -8.037 eV per atom
formation energy = 1.274 eV/atom
crystal system = cubic

Question: Which of these has the highest formation energy?
Answer: HfAlW3